Here is a relaxed structure of BaCd2Ag from the Alexandria database. Energies are from GGA-PBEsol.

Lattice parameters (Å, degrees): 4.8483 4.8483 6.2432 67.15 67.15 60.00
With the nearest neighbours (Å) after each atom.
Sites, in units of the cell vectors:
Cd 0.2351 0.2351 0.2946  3 Ag 2.81, 3 Cd 2.94
Cd 0.9556 0.9556 0.1332  3 Cd 2.94, 3 Ag 3.01
Ba 0.7543 0.7543 0.7371  4 Ag 3.33-3.59, 4 Cd 3.37-3.57
Ag 0.5554 0.5554 0.3337  6 Cd 2.81-3.01

Calculated values
E, eV per formula unit: -8.8
E_form, kJ/mol of formula units: -87
SG: No. 160
Calculated density, g cm⁻³: 6.87
Volume, Å³/f.u.: 114

***

Here is a relaxed structure of BaCdAg2Os from the Alexandria database. Energies are from GGA-PBEsol.

Lattice parameters (Å, degrees): 5.1248 5.1248 5.4048 90.00 90.00 90.00
With the nearest neighbours (Å) after each atom.
Sites, in units of the cell vectors:
Os 0.0000 0.0000 0.0000  4 Ag 2.56, 2 Ba 2.70
Ba 0.0000 0.0000 0.5000  2 Os 2.70
Ag 0.0000 0.5000 0.0000  2 Os 2.56
Ag 0.5000 0.0000 0.0000  2 Os 2.56
Cd 0.5000 0.5000 0.5000  4 Ba 3.62, 8 Ag 3.72

Calculated values
E, eV per formula unit: -17.3
E_form, kJ/mol of formula units: 474
SG: No. 123
Calculated density, g cm⁻³: 7.67
Volume, Å³/f.u.: 142

***

Here is a relaxed structure of Ba3AgCl from the Alexandria database. Energies are from GGA-PBEsol.

Lattice parameters (Å, degrees): 6.3583 6.3583 6.3583 90.00 90.00 90.00
With the nearest neighbours (Å) after each atom.
Sites, in units of the cell vectors:
Ba 0.0000 0.0000 0.5000  2 Ag 3.18
Cl 0.5000 0.5000 0.5000  12 Ba 4.50
Ba 0.0000 0.5000 0.0000  2 Ag 3.18
Ag 0.0000 0.0000 0.0000  6 Ba 3.18
Ba 0.5000 0.0000 0.0000  2 Ag 3.18

Calculated values
Formation energy from raw total energies, meV/atom: -321
E, eV per formula unit: -13.4
SG: No. 221
Calculated density, g cm⁻³: 3.59
Volume, Å³/f.u.: 257

***

Here is a relaxed structure of Ba2AgCl from the Alexandria database. Energies are from GGA-PBEsol.

Lattice parameters (Å, degrees): 5.6584 5.6584 5.6584 60.00 60.00 60.00
With the nearest neighbours (Å) after each atom.
Sites, in units of the cell vectors:
Ag 0.0000 0.0000 0.0000  8 Ba 3.47
Cl 0.5000 0.5000 0.5000  8 Ba 3.47
Ba 0.7500 0.7500 0.7500  4 Cl 3.47, 4 Ag 3.47
Ba 0.2500 0.2500 0.2500  4 Ag 3.47, 4 Cl 3.47

Calculated values
Formation energy from raw total energies, meV/atom: -807
E, eV per formula unit: -12.8
Polymorph energy (0 for the lowest one), eV/atom: 0.1620
SG: No. 225
Calculated density, g cm⁻³: 5.42
Volume, Å³/f.u.: 128

***

Here is a relaxed structure of Ba2AgCl from the Alexandria database. Energies are from GGA-PBEsol.

Lattice parameters (Å, degrees): 4.5542 4.5542 8.4830 74.43 74.43 60.00
With the nearest neighbours (Å) after each atom.
Sites, in units of the cell vectors:
Ba 0.7471 0.7471 0.7587  3 Ag 3.27, 3 Cl 3.36
Cl 0.5000 0.5000 0.5000  6 Ba 3.36
Ba 0.2529 0.2529 0.2413  3 Ag 3.27, 3 Cl 3.36
Ag 0.0000 0.0000 0.0000  6 Ba 3.27

Calculated values
Formation energy from raw total energies, meV/atom: -969
E, eV per formula unit: -13.5
Polymorph energy (0 for the lowest one), eV/atom: 0.0000
SG: No. 166
Calculated density, g cm⁻³: 4.79
Volume, Å³/f.u.: 145

***

Here is a relaxed structure of Ba2AgCl from the Alexandria database. Energies are from GGA-PBEsol.

Lattice parameters (Å, degrees): 4.1969 4.3636 8.3562 90.00 104.54 90.00
With the nearest neighbours (Å) after each atom.
Sites, in units of the cell vectors:
Ba 0.0354 0.5000 0.0707  4 Cl 3.17, 2 Ag 3.40
Ag 0.7007 0.5000 0.4014  6 Ba 3.33-3.40
Cl 0.4774 0.0000 0.9549  5 Ba 3.09-3.17
Ba 0.2865 0.0000 0.5730  1 Cl 3.09, 4 Ag 3.33

Calculated values
Formation energy from raw total energies, meV/atom: -918
E, eV per formula unit: -13.3
Polymorph energy (0 for the lowest one), eV/atom: 0.0501
SG: No. 38
Calculated density, g cm⁻³: 4.69
Volume, Å³/f.u.: 148

***

Here is a relaxed structure of Ba2AgCl from the Alexandria database. Energies are from GGA-PBEsol.

Lattice parameters (Å, degrees): 4.1234 4.2267 8.5883 104.25 103.89 90.00
With the nearest neighbours (Å) after each atom.
Sites, in units of the cell vectors:
Ba 0.0419 0.0419 0.0838  4 Cl 3.21, 2 Ag 3.32
Ag 0.2003 0.7003 0.4005  6 Ba 3.32
Ba 0.7945 0.2945 0.5889  4 Ag 3.32, 2 Cl 3.42
Cl 0.4634 0.4634 0.9267  6 Ba 3.21-3.42

Calculated values
Formation energy from raw total energies, meV/atom: -883
E, eV per formula unit: -13.1
Polymorph energy (0 for the lowest one), eV/atom: 0.0853
SG: No. 44
Calculated density, g cm⁻³: 4.94
Volume, Å³/f.u.: 141

***

Here is a relaxed structure of BaAg2Cl from the Alexandria database. Energies are from GGA-PBEsol.

Lattice parameters (Å, degrees): 4.8233 4.8233 6.0341 66.44 66.44 60.00
With the nearest neighbours (Å) after each atom.
Sites, in units of the cell vectors:
Ag 0.7098 0.7098 0.8705  3 Cl 2.87, 3 Ag 3.11
Cl 0.0000 0.0000 0.0000  6 Ag 2.87
Ag 0.2902 0.2902 0.1295  3 Cl 2.87, 3 Ag 3.11
Ba 0.5000 0.5000 0.5000  8 Ag 3.37-3.42

Calculated values
Formation energy from raw total energies, meV/atom: -190
E, eV per formula unit: -11.5
Polymorph energy (0 for the lowest one), eV/atom: 0.4655
SG: No. 166
Calculated density, g cm⁻³: 5.98
Volume, Å³/f.u.: 108

***

Here is a relaxed structure of BaAg2Cl from the Alexandria database. Energies are from GGA-PBEsol.

Lattice parameters (Å, degrees): 4.1611 4.2057 5.9564 90.00 90.00 90.00
With the nearest neighbours (Å) after each atom.
Sites, in units of the cell vectors:
Ag 0.0000 0.0000 0.0000  4 Ag 2.96
Ba 0.5000 0.0000 0.5000  4 Cl 2.96
Ag 0.5000 0.5000 0.0000  4 Ag 2.96
Cl 0.0000 0.5000 0.5000  4 Ba 2.96

Calculated values
Formation energy from raw total energies, meV/atom: -655
E, eV per formula unit: -13.4
Polymorph energy (0 for the lowest one), eV/atom: 0.0000
SG: No. 47
Calculated density, g cm⁻³: 6.19
Volume, Å³/f.u.: 104

***

Here is a relaxed structure of BaAg2Cl from the Alexandria database. Energies are from GGA-PBEsol.

Lattice parameters (Å, degrees): 4.5845 4.5799 5.6729 90.00 90.00 90.00
With the nearest neighbours (Å) after each atom.
Sites, in units of the cell vectors:
Ag 0.0000 0.0000 0.2502  2 Ag 2.83-2.84
Ag 0.0000 0.0000 0.7498  2 Ag 2.83-2.84
Cl 0.5000 0.5000 0.5000  2 Ba 2.84
Ba 0.5000 0.5000 0.0000  2 Cl 2.84

Calculated values
Formation energy from raw total energies, meV/atom: -408
E, eV per formula unit: -12.4
Polymorph energy (0 for the lowest one), eV/atom: 0.2473
SG: No. 123
Calculated density, g cm⁻³: 5.42
Volume, Å³/f.u.: 119

***

Here is a relaxed structure of BaAg2Cl from the Alexandria database. Energies are from GGA-PBEsol.

Lattice parameters (Å, degrees): 4.9035 5.3660 5.3660 66.33 62.81 62.81
With the nearest neighbours (Å) after each atom.
Sites, in units of the cell vectors:
Ag 0.9562 0.0438 0.0438  2 Ag 2.71
Ba 0.4939 0.5061 0.5061  2 Cl 3.08, 4 Ag 3.27-3.38
Cl 0.7463 0.7537 0.7537  2 Ba 3.08, 5 Ag 3.28-3.33
Ag 0.3037 0.1963 0.1963  2 Ag 2.71

Calculated values
Formation energy from raw total energies, meV/atom: -550
E, eV per formula unit: -13.0
Polymorph energy (0 for the lowest one), eV/atom: 0.1052
SG: No. 44
Calculated density, g cm⁻³: 5.95
Volume, Å³/f.u.: 108

***

Here is a relaxed structure of BaAgSn2Cl from the Alexandria database. Energies are from GGA-PBEsol.

Lattice parameters (Å, degrees): 5.5715 6.4210 6.4210 90.00 90.00 90.00
With the nearest neighbours (Å) after each atom.
Sites, in units of the cell vectors:
Ba 0.0000 0.0000 0.0000  2 Cl 2.79
Sn 0.0000 0.5000 0.0000  2 Ba 3.21
Sn 0.0000 0.0000 0.5000  2 Ba 3.21
Cl 0.5000 0.0000 0.0000  2 Ba 2.79
Ag 0.5000 0.5000 0.5000  8 Sn 4.25, 4 Cl 4.54

Calculated values
Formation energy from raw total energies, meV/atom: 581
E, eV per formula unit: -13.1
SG: No. 123
Calculated density, g cm⁻³: 3.75
Volume, Å³/f.u.: 230

***

Here is a relaxed structure of BaCoAg2 from the Alexandria database. Energies are from GGA-PBEsol.

Lattice parameters (Å, degrees): 4.5038 4.5040 6.0242 68.06 68.05 60.00
With the nearest neighbours (Å) after each atom.
Sites, in units of the cell vectors:
Ag 0.9876 0.9877 0.0371  3 Co 2.60, 3 Ag 2.68
Ba 0.5006 0.5004 0.4984  1 Co 2.98, 1 Ag 3.15
Ag 0.6939 0.6939 0.9184  3 Ag 2.68, 3 Co 2.69
Co 0.3179 0.3180 0.0461  6 Ag 2.60-2.69

Calculated values
E, eV per formula unit: -15.6
E_form, kJ/mol of formula units: 84
Polymorph energy (0 for the lowest one), eV/atom: 0.0000
SG: No. 160
Calculated density, g cm⁻³: 7.17
Volume, Å³/f.u.: 95

***

Here is a relaxed structure of BaCoAg2 from the Alexandria database. Energies are from GGA-PBEsol.

Lattice parameters (Å, degrees): 3.2932 3.2932 7.5840 90.00 90.00 90.00
With the nearest neighbours (Å) after each atom.
Sites, in units of the cell vectors:
Co 0.5000 0.5000 0.5000  8 Ag 2.69
Ba 0.5000 0.5000 0.0000  4 Ba 3.29, 8 Ag 3.38
Ag 0.0000 0.0000 0.3226  4 Co 2.69, 1 Ag 2.69
Ag 0.0000 0.0000 0.6774  4 Co 2.69, 1 Ag 2.69

Calculated values
E, eV per formula unit: -14.9
E_form, kJ/mol of formula units: 157
Polymorph energy (0 for the lowest one), eV/atom: 0.1884
SG: No. 123
Calculated density, g cm⁻³: 8.32
Volume, Å³/f.u.: 82

***

Here is a relaxed structure of BaCoAg2 from the Alexandria database. Energies are from GGA-PBEsol.

Lattice parameters (Å, degrees): 4.1016 4.1016 5.6732 111.19 111.19 90.00
With the nearest neighbours (Å) after each atom.
Sites, in units of the cell vectors:
Ag 0.2500 0.7500 0.5000  4 Ag 2.90, 4 Ba 3.19, 4 Co 3.19
Ba 0.5000 0.5000 0.0000  4 Co 2.90, 8 Ag 3.19
Ag 0.7500 0.2500 0.5000  4 Ag 2.90, 4 Ba 3.19, 4 Co 3.19
Co 0.0000 0.0000 0.0000  4 Ba 2.90, 8 Ag 3.19

Calculated values
E, eV per formula unit: -14.4
E_form, kJ/mol of formula units: 205
Polymorph energy (0 for the lowest one), eV/atom: 0.3145
SG: No. 139
Calculated density, g cm⁻³: 8.34
Volume, Å³/f.u.: 82

***

Here is a relaxed structure of BaCoAg2 from the Alexandria database. Energies are from GGA-PBEsol.

Lattice parameters (Å, degrees): 4.7970 4.0977 4.0977 90.04 90.00 90.00
With the nearest neighbours (Å) after each atom.
Sites, in units of the cell vectors:
Ba 0.5000 0.0000 0.0000  4 Co 2.90, 8 Ag 3.15
Ag 0.0000 0.5000 0.0000  4 Ag 2.90, 4 Co 3.15, 4 Ba 3.15
Co 0.5000 0.5000 0.5000  4 Ba 2.90, 8 Ag 3.15
Ag 0.0000 0.0000 0.5000  4 Ag 2.90, 4 Ba 3.15, 4 Co 3.15

Calculated values
E, eV per formula unit: -14.3
E_form, kJ/mol of formula units: 217
Polymorph energy (0 for the lowest one), eV/atom: 0.3434
SG: No. 123
Calculated density, g cm⁻³: 8.49
Volume, Å³/f.u.: 81

***

Here is a relaxed structure of BaCoAg from the Alexandria database. Energies are from GGA-PBEsol.

Lattice parameters (Å, degrees): 3.4929 3.5919 6.0023 107.41 106.92 90.00
With the nearest neighbours (Å) after each atom.
Sites, in units of the cell vectors:
Co 0.3828 0.3828 0.7657  4 Ag 2.61
Ba 0.6667 0.6667 0.3334  5 Ag 3.10-3.44, 5 Co 3.10-3.44
Ag 0.9505 0.9505 0.9009  4 Co 2.61

Calculated values
E, eV per formula unit: -11.7
E_form, kJ/mol of formula units: 145
SG: No. 44
Calculated density, g cm⁻³: 7.38
Volume, Å³/f.u.: 68

***

Here is a relaxed structure of BaInCo2Ag from the Alexandria database. Energies are from GGA-PBEsol.

Lattice parameters (Å, degrees): 4.8575 4.8575 5.6760 90.00 90.00 90.00
With the nearest neighbours (Å) after each atom.
Sites, in units of the cell vectors:
Ag 0.0000 0.0000 0.0000  4 Co 2.43
Ba 0.0000 0.0000 0.5000  2 Ag 2.84
In 0.5000 0.5000 0.5000  4 Ba 3.43, 8 Co 3.74
Co 0.0000 0.5000 0.0000  2 Ag 2.43
Co 0.5000 0.0000 0.0000  2 Ag 2.43

Calculated values
E, eV per formula unit: -18.1
E_form, kJ/mol of formula units: 558
SG: No. 123
Calculated density, g cm⁻³: 5.93
Volume, Å³/f.u.: 134

***

Here is a relaxed structure of BaCr3Ag from the Alexandria database. Energies are from GGA-PBEsol.

Lattice parameters (Å, degrees): 4.9283 4.9283 4.9283 90.00 90.00 90.00
With the nearest neighbours (Å) after each atom.
Sites, in units of the cell vectors:
Ag 0.5000 0.5000 0.5000  12 Cr 3.48
Cr 0.0000 0.0000 0.5000  2 Ba 2.46
Cr 0.5000 0.0000 0.0000  2 Ba 2.46
Cr 0.0000 0.5000 0.0000  2 Ba 2.46
Ba 0.0000 0.0000 0.0000  6 Cr 2.46

Calculated values
E, eV per formula unit: -23.4
E_form, kJ/mol of formula units: 1238
SG: No. 221
Calculated density, g cm⁻³: 5.57
Volume, Å³/f.u.: 120

***

Here is a relaxed structure of Ba2CrInAg from the Alexandria database. Energies are from GGA-PBEsol.

Lattice parameters (Å, degrees): 5.0718 6.4813 6.4813 90.00 90.00 90.00
With the nearest neighbours (Å) after each atom.
Sites, in units of the cell vectors:
In 0.0000 0.0000 0.0000  2 Ag 2.54
Ba 0.0000 0.5000 0.0000  2 In 3.24
Ba 0.0000 0.0000 0.5000  2 In 3.24
Cr 0.5000 0.5000 0.5000  8 Ba 4.11, 4 Ag 4.58
Ag 0.5000 0.0000 0.0000  2 In 2.54

Calculated values
E, eV per formula unit: -17.6
E_form, kJ/mol of formula units: 316
SG: No. 123
Calculated density, g cm⁻³: 4.28
Volume, Å³/f.u.: 213